The following is a PBEsol calculation of Li3In after structural relaxation, from Alexandria via LeMat-Bulk.

Cell lengths 3.1586, 4.7810, 4.7943 Å; angles 90.00, 90.00, 90.00 degrees
Last column: nearest neighbours and their distance in Å.
Element x y z (fractional)
In1 0.0000 0.0000 0.9379  8 Li 2.87, 2 In 3.16
Li1 0.5000 0.0000 0.4371  4 In 2.87, 6 Li 2.87-3.16
Li2 0.5000 0.5000 0.8991  6 Li 2.84-3.16, 4 In 2.87
Li3 0.0000 0.5000 0.3926  10 Li 2.84-3.16

ΔH_f (0 K), eV per atom: -0.225
E, eV/atom: -2.446
Space-group type: Pmm2
Calculated volume, A^3/atom: 18.10